(1)
Computed, not measured: Li3Pr12Sn5 after structural relaxation at the PBE-GGA level of DFT.

The formation energy comes out at 0.19 eV/atom. The total magnetization comes out at 2.481 μB/f.u.

The structure in CIF format:
```
data_Li3Pr12Sn5
_cell_length_a 16.120
_cell_length_b 16.120
_cell_length_c 16.120
_cell_angle_alpha 109.47
_cell_angle_beta 109.47
_cell_angle_gamma 109.47
_space_group_name_H-M_alt 'P 1'
_space_group_IT_number 1
loop_
_space_group_symop_operation_xyz
'x,y,z'
loop_
_atom_site_label
_atom_site_type_symbol
_atom_site_fract_x
_atom_site_fract_y
_atom_site_fract_z
Li1 Li 0.125 0.250 0.375
Li2 Li 0.125 0.375 0.750
Li3 Li 0.250 0.375 0.125
Li4 Li 0.250 0.875 0.625
Li5 Li 0.375 0.125 0.250
Li6 Li 0.375 0.750 0.125
Li7 Li 0.625 0.250 0.875
Li8 Li 0.625 0.875 0.750
Li9 Li 0.750 0.125 0.375
Li10 Li 0.750 0.625 0.875
Li11 Li 0.875 0.625 0.250
Li12 Li 0.875 0.750 0.625
Pr1 Pr 0.053 0.221 0.125
Pr2 Pr 0.053 0.332 0.928
Pr3 Pr 0.072 0.625 0.404
Pr4 Pr 0.072 0.947 0.668
Pr5 Pr 0.096 0.721 0.668
Pr6 Pr 0.096 0.875 0.428
Pr7 Pr 0.125 0.053 0.221
Pr8 Pr 0.125 0.572 0.904
Pr9 Pr 0.168 0.221 0.596
Pr10 Pr 0.168 0.447 0.572
Pr11 Pr 0.221 0.125 0.053
Pr12 Pr 0.221 0.596 0.168
Pr13 Pr 0.279 0.332 0.904
Pr14 Pr 0.279 0.447 0.375
Pr15 Pr 0.332 0.904 0.279
Pr16 Pr 0.332 0.928 0.053
Pr17 Pr 0.375 0.279 0.447
Pr18 Pr 0.375 0.596 0.928
Pr19 Pr 0.404 0.072 0.625
Pr20 Pr 0.404 0.832 0.779
Pr21 Pr 0.428 0.096 0.875
Pr22 Pr 0.428 0.832 0.553
Pr23 Pr 0.447 0.375 0.279
Pr24 Pr 0.447 0.572 0.168
Pr25 Pr 0.553 0.428 0.832
Pr26 Pr 0.553 0.625 0.721
Pr27 Pr 0.572 0.168 0.447
Pr28 Pr 0.572 0.904 0.125
Pr29 Pr 0.596 0.168 0.221
Pr30 Pr 0.596 0.928 0.375
Pr31 Pr 0.625 0.404 0.072
Pr32 Pr 0.625 0.721 0.553
Pr33 Pr 0.668 0.072 0.947
Pr34 Pr 0.668 0.096 0.721
Pr35 Pr 0.721 0.553 0.625
Pr36 Pr 0.721 0.668 0.096
Pr37 Pr 0.779 0.404 0.832
Pr38 Pr 0.779 0.875 0.947
Pr39 Pr 0.832 0.553 0.428
Pr40 Pr 0.832 0.779 0.404
Pr41 Pr 0.875 0.428 0.096
Pr42 Pr 0.875 0.947 0.779
Pr43 Pr 0.904 0.125 0.572
Pr44 Pr 0.904 0.279 0.332
Pr45 Pr 0.928 0.053 0.332
Pr46 Pr 0.928 0.375 0.596
Pr47 Pr 0.947 0.668 0.072
Pr48 Pr 0.947 0.779 0.875
Sn1 Sn 0.000 0.000 0.000
Sn2 Sn 0.000 0.000 0.500
Sn3 Sn 0.000 0.500 0.000
Sn4 Sn 0.000 0.500 0.500
Sn5 Sn 0.125 0.750 0.875
Sn6 Sn 0.125 0.875 0.250
Sn7 Sn 0.250 0.125 0.875
Sn8 Sn 0.250 0.625 0.375
Sn9 Sn 0.375 0.250 0.625
Sn10 Sn 0.375 0.625 0.750
Sn11 Sn 0.500 0.000 0.000
Sn12 Sn 0.500 0.000 0.500
Sn13 Sn 0.500 0.500 0.000
Sn14 Sn 0.500 0.500 0.500
Sn15 Sn 0.625 0.375 0.250
Sn16 Sn 0.625 0.750 0.375
Sn17 Sn 0.750 0.375 0.625
Sn18 Sn 0.750 0.875 0.125
Sn19 Sn 0.875 0.125 0.750
Sn20 Sn 0.875 0.250 0.125
```

***

(2)
Computed, not measured: LiPrSn after structural relaxation at the PBE-GGA level of DFT.

The formation energy comes out at -0.66 eV/atom. The total magnetization comes out at 0.000 μB/f.u.

The structure in CIF format:
```
data_LiPrSn
_cell_length_a 4.799
_cell_length_b 4.799
_cell_length_c 7.782
_cell_angle_alpha 90.00
_cell_angle_beta 90.00
_cell_angle_gamma 120.00
_space_group_name_H-M_alt 'P 1'
_space_group_IT_number 1
loop_
_space_group_symop_operation_xyz
'x,y,z'
loop_
_atom_site_label
_atom_site_type_symbol
_atom_site_fract_x
_atom_site_fract_y
_atom_site_fract_z
Li1 Li 0.333 0.667 0.250
Li2 Li 0.667 0.333 0.750
Pr1 Pr 0.000 0.000 0.000
Pr2 Pr 0.000 0.000 0.500
Sn1 Sn 0.333 0.667 0.750
Sn2 Sn 0.667 0.333 0.250
```

***

(3)
Computed, not measured: LiPr2Sn8 after structural relaxation at the PBE-GGA level of DFT.

The formation energy comes out at -0.40 eV/atom. The total magnetization comes out at 0.000 μB/f.u.

The structure in CIF format:
```
data_LiPr2Sn8
_cell_length_a 4.704
_cell_length_b 4.704
_cell_length_c 13.316
_cell_angle_alpha 90.00
_cell_angle_beta 90.00
_cell_angle_gamma 90.00
_space_group_name_H-M_alt 'P 1'
_space_group_IT_number 1
loop_
_space_group_symop_operation_xyz
'x,y,z'
loop_
_atom_site_label
_atom_site_type_symbol
_atom_site_fract_x
_atom_site_fract_y
_atom_site_fract_z
Li1 Li 0.000 0.000 0.000
Pr1 Pr 0.000 0.000 0.320
Pr2 Pr 0.000 0.000 0.680
Sn1 Sn 0.000 0.500 0.127
Sn2 Sn 0.000 0.500 0.500
Sn3 Sn 0.000 0.500 0.873
Sn4 Sn 0.500 0.000 0.127
Sn5 Sn 0.500 0.000 0.500
Sn6 Sn 0.500 0.000 0.873
Sn7 Sn 0.500 0.500 0.306
Sn8 Sn 0.500 0.500 0.694
```

***

(4)
Computed, not measured: LiPr2Sn3 after structural relaxation at the PBE-GGA level of DFT.

The formation energy comes out at -0.62 eV/atom. The total magnetization comes out at 0.000 μB/f.u.

The structure in CIF format:
```
data_LiPr2Sn3
_cell_length_a 11.555
_cell_length_b 4.715
_cell_length_c 7.583
_cell_angle_alpha 90.00
_cell_angle_beta 128.88
_cell_angle_gamma 90.00
_space_group_name_H-M_alt 'P 1'
_space_group_IT_number 1
loop_
_space_group_symop_operation_xyz
'x,y,z'
loop_
_atom_site_label
_atom_site_type_symbol
_atom_site_fract_x
_atom_site_fract_y
_atom_site_fract_z
Li1 Li 0.000 0.000 0.000
Li2 Li 0.500 0.500 0.000
Pr1 Pr 0.277 0.000 0.600
Pr2 Pr 0.383 0.000 0.219
Pr3 Pr 0.777 0.500 0.600
Pr4 Pr 0.883 0.500 0.219
Sn1 Sn 0.147 0.500 0.183
Sn2 Sn 0.197 0.500 0.818
Sn3 Sn 0.483 0.500 0.597
Sn4 Sn 0.647 0.000 0.183
Sn5 Sn 0.697 0.000 0.818
Sn6 Sn 0.983 0.000 0.597
```

***

(5)
Computed, not measured: LiPr7Sn4 after structural relaxation at the PBE-GGA level of DFT.

The formation energy comes out at -0.35 eV/atom. The total magnetization comes out at 0.001 μB/f.u.

The structure in CIF format:
```
data_LiPr7Sn4
_cell_length_a 8.230
_cell_length_b 8.230
_cell_length_c 11.482
_cell_angle_alpha 124.54
_cell_angle_beta 124.54
_cell_angle_gamma 40.06
_space_group_name_H-M_alt 'P 1'
_space_group_IT_number 1
loop_
_space_group_symop_operation_xyz
'x,y,z'
loop_
_atom_site_label
_atom_site_type_symbol
_atom_site_fract_x
_atom_site_fract_y
_atom_site_fract_z
Li1 Li 0.000 0.000 0.000
Pr1 Pr 0.080 0.080 0.326
Pr2 Pr 0.210 0.210 0.867
Pr3 Pr 0.349 0.349 0.422
Pr4 Pr 0.500 0.500 0.000
Pr5 Pr 0.651 0.651 0.578
Pr6 Pr 0.790 0.790 0.133
Pr7 Pr 0.920 0.920 0.674
Sn1 Sn 0.289 0.289 0.665
Sn2 Sn 0.425 0.425 0.217
Sn3 Sn 0.575 0.575 0.783
Sn4 Sn 0.711 0.711 0.335
```

***

(6)
Computed, not measured: Li3PrSn2 after structural relaxation at the PBE-GGA level of DFT.

The formation energy comes out at -0.49 eV/atom. The total magnetization comes out at 0.000 μB/f.u.

The structure in CIF format:
```
data_Li3PrSn2
_cell_length_a 8.103
_cell_length_b 8.103
_cell_length_c 8.609
_cell_angle_alpha 115.59
_cell_angle_beta 115.59
_cell_angle_gamma 33.25
_space_group_name_H-M_alt 'P 1'
_space_group_IT_number 1
loop_
_space_group_symop_operation_xyz
'x,y,z'
loop_
_atom_site_label
_atom_site_type_symbol
_atom_site_fract_x
_atom_site_fract_y
_atom_site_fract_z
Li1 Li 0.042 0.042 0.373
Li2 Li 0.301 0.301 0.509
Li3 Li 0.402 0.402 0.316
Li4 Li 0.598 0.598 0.684
Li5 Li 0.699 0.699 0.491
Li6 Li 0.958 0.958 0.627
Pr1 Pr 0.146 0.146 0.050
Pr2 Pr 0.854 0.854 0.950
Sn1 Sn 0.198 0.198 0.715
Sn2 Sn 0.470 0.470 0.820
Sn3 Sn 0.530 0.530 0.180
Sn4 Sn 0.802 0.802 0.285
```

***

(7)
Computed, not measured: Li4PrSn after structural relaxation at the PBE-GGA level of DFT.

The formation energy comes out at -0.17 eV/atom. The total magnetization comes out at 0.000 μB/f.u.

The structure in CIF format:
```
data_Li4PrSn
_cell_length_a 5.595
_cell_length_b 5.595
_cell_length_c 5.595
_cell_angle_alpha 60.00
_cell_angle_beta 60.00
_cell_angle_gamma 60.00
_space_group_name_H-M_alt 'P 1'
_space_group_IT_number 1
loop_
_space_group_symop_operation_xyz
'x,y,z'
loop_
_atom_site_label
_atom_site_type_symbol
_atom_site_fract_x
_atom_site_fract_y
_atom_site_fract_z
Li1 Li 0.124 0.124 0.124
Li2 Li 0.124 0.124 0.628
Li3 Li 0.124 0.628 0.124
Li4 Li 0.628 0.124 0.124
Pr1 Pr 0.500 0.500 0.500
Sn1 Sn 0.750 0.750 0.750
```

***

(8)
Computed, not measured: LiPr2Sn after structural relaxation at the PBE-GGA level of DFT.

The formation energy comes out at -0.45 eV/atom. The total magnetization comes out at 0.000 μB/f.u.

The structure in CIF format:
```
data_LiPr2Sn
_cell_length_a 7.687
_cell_length_b 7.687
_cell_length_c 7.687
_cell_angle_alpha 90.00
_cell_angle_beta 90.00
_cell_angle_gamma 90.00
_space_group_name_H-M_alt 'P 1'
_space_group_IT_number 1
loop_
_space_group_symop_operation_xyz
'x,y,z'
loop_
_atom_site_label
_atom_site_type_symbol
_atom_site_fract_x
_atom_site_fract_y
_atom_site_fract_z
Li1 Li 0.000 0.000 0.000
Li2 Li 0.000 0.500 0.500
Li3 Li 0.500 0.000 0.500
Li4 Li 0.500 0.500 0.000
Pr1 Pr 0.250 0.250 0.250
Pr2 Pr 0.250 0.250 0.750
Pr3 Pr 0.250 0.750 0.250
Pr4 Pr 0.250 0.750 0.750
Pr5 Pr 0.750 0.250 0.250
Pr6 Pr 0.750 0.250 0.750
Pr7 Pr 0.750 0.750 0.250
Pr8 Pr 0.750 0.750 0.750
Sn1 Sn 0.000 0.000 0.500
Sn2 Sn 0.000 0.500 0.000
Sn3 Sn 0.500 0.000 0.000
Sn4 Sn 0.500 0.500 0.500
```

***

(9)
Computed, not measured: Li2PrSn3 after structural relaxation at the PBE-GGA level of DFT.

The formation energy comes out at -0.39 eV/atom. The total magnetization comes out at 0.000 μB/f.u.

The structure in CIF format:
```
data_Li2PrSn3
_cell_length_a 6.856
_cell_length_b 6.856
_cell_length_c 6.382
_cell_angle_alpha 90.00
_cell_angle_beta 90.00
_cell_angle_gamma 77.43
_space_group_name_H-M_alt 'P 1'
_space_group_IT_number 1
loop_
_space_group_symop_operation_xyz
'x,y,z'
loop_
_atom_site_label
_atom_site_type_symbol
_atom_site_fract_x
_atom_site_fract_y
_atom_site_fract_z
Li1 Li 0.217 0.217 0.000
Li2 Li 0.217 0.217 0.500
Li3 Li 0.783 0.783 0.000
Li4 Li 0.783 0.783 0.500
Pr1 Pr 0.349 0.651 0.750
Pr2 Pr 0.651 0.349 0.250
Sn1 Sn 0.022 0.978 0.250
Sn2 Sn 0.153 0.548 0.250
Sn3 Sn 0.452 0.847 0.250
Sn4 Sn 0.548 0.153 0.750
Sn5 Sn 0.847 0.452 0.750
Sn6 Sn 0.978 0.022 0.750
```

***

(10)
Computed, not measured: LiPr2Sn after structural relaxation at the PBE-GGA level of DFT.

The formation energy comes out at -0.09 eV/atom. The total magnetization comes out at 0.000 μB/f.u.

The structure in CIF format:
```
data_LiPr2Sn
_cell_length_a 11.180
_cell_length_b 4.761
_cell_length_c 9.534
_cell_angle_alpha 90.00
_cell_angle_beta 115.23
_cell_angle_gamma 90.00
_space_group_name_H-M_alt 'P 1'
_space_group_IT_number 1
loop_
_space_group_symop_operation_xyz
'x,y,z'
loop_
_atom_site_label
_atom_site_type_symbol
_atom_site_fract_x
_atom_site_fract_y
_atom_site_fract_z
Li1 Li 0.000 0.001 0.250
Li2 Li 0.000 0.999 0.750
Li3 Li 0.500 0.499 0.750
Li4 Li 0.500 0.501 0.250
Pr1 Pr 0.173 0.000 0.087
Pr2 Pr 0.173 0.000 0.587
Pr3 Pr 0.327 0.500 0.413
Pr4 Pr 0.327 0.500 0.913
Pr5 Pr 0.673 0.500 0.087
Pr6 Pr 0.673 0.500 0.587
Pr7 Pr 0.827 0.000 0.413
Pr8 Pr 0.827 0.000 0.913
Sn1 Sn 0.000 0.499 0.750
Sn2 Sn 0.000 0.501 0.250
Sn3 Sn 0.500 0.001 0.250
Sn4 Sn 0.500 0.999 0.750
```

***

(11)
Computed, not measured: Li3PrSn after structural relaxation at the PBE-GGA level of DFT.

The formation energy comes out at -0.31 eV/atom. The total magnetization comes out at 0.000 μB/f.u.

The structure in CIF format:
```
data_Li3PrSn
_cell_length_a 7.629
_cell_length_b 7.632
_cell_length_c 10.775
_cell_angle_alpha 90.00
_cell_angle_beta 134.92
_cell_angle_gamma 90.00
_space_group_name_H-M_alt 'P 1'
_space_group_IT_number 1
loop_
_space_group_symop_operation_xyz
'x,y,z'
loop_
_atom_site_label
_atom_site_type_symbol
_atom_site_fract_x
_atom_site_fract_y
_atom_site_fract_z
Li1 Li 0.052 0.118 0.168
Li2 Li 0.052 0.382 0.668
Li3 Li 0.285 0.619 0.665
Li4 Li 0.285 0.881 0.165
Li5 Li 0.372 0.628 0.999
Li6 Li 0.372 0.872 0.499
Li7 Li 0.628 0.128 0.501
Li8 Li 0.628 0.372 0.001
Li9 Li 0.715 0.119 0.835
Li10 Li 0.715 0.381 0.335
Li11 Li 0.948 0.618 0.332
Li12 Li 0.948 0.882 0.832
Pr1 Pr 0.250 0.501 0.250
Pr2 Pr 0.250 0.999 0.750
Pr3 Pr 0.750 0.001 0.250
Pr4 Pr 0.750 0.499 0.750
Sn1 Sn 0.233 0.233 0.000
Sn2 Sn 0.233 0.267 0.500
Sn3 Sn 0.767 0.733 0.500
Sn4 Sn 0.767 0.767 0.000
```

***

(12)
Computed, not measured: LiPrSn after structural relaxation at the PBE-GGA level of DFT.

The formation energy comes out at -0.66 eV/atom. The total magnetization comes out at 0.000 μB/f.u.

The structure in CIF format:
```
data_LiPrSn
_cell_length_a 9.592
_cell_length_b 9.592
_cell_length_c 7.753
_cell_angle_alpha 90.00
_cell_angle_beta 90.00
_cell_angle_gamma 120.00
_space_group_name_H-M_alt 'P 1'
_space_group_IT_number 1
loop_
_space_group_symop_operation_xyz
'x,y,z'
loop_
_atom_site_label
_atom_site_type_symbol
_atom_site_fract_x
_atom_site_fract_y
_atom_site_fract_z
Li1 Li 0.167 0.333 0.000
Li2 Li 0.167 0.833 0.000
Li3 Li 0.333 0.167 0.500
Li4 Li 0.333 0.667 0.604
Li5 Li 0.667 0.333 0.104
Li6 Li 0.667 0.833 0.000
Li7 Li 0.833 0.167 0.500
Li8 Li 0.833 0.667 0.500
Pr1 Pr 0.000 0.000 0.285
Pr2 Pr 0.000 0.000 0.785
Pr3 Pr 0.021 0.510 0.289
Pr4 Pr 0.490 0.510 0.289
Pr5 Pr 0.490 0.979 0.289
Pr6 Pr 0.510 0.021 0.789
Pr7 Pr 0.510 0.490 0.789
Pr8 Pr 0.979 0.490 0.789
Sn1 Sn 0.167 0.333 0.555
Sn2 Sn 0.167 0.833 0.555
Sn3 Sn 0.333 0.167 0.055
Sn4 Sn 0.333 0.667 0.019
Sn5 Sn 0.667 0.333 0.519
Sn6 Sn 0.667 0.833 0.555
Sn7 Sn 0.833 0.167 0.055
Sn8 Sn 0.833 0.667 0.055
```

***

What did the sixth record say?
Computed, not measured: Li3PrSn2 after structural relaxation at the PBE-GGA level of DFT.

The formation energy comes out at -0.49 eV/atom. The total magnetization comes out at 0.000 μB/f.u.

The structure in CIF format:
```
data_Li3PrSn2
_cell_length_a 8.103
_cell_length_b 8.103
_cell_length_c 8.609
_cell_angle_alpha 115.59
_cell_angle_beta 115.59
_cell_angle_gamma 33.25
_space_group_name_H-M_alt 'P 1'
_space_group_IT_number 1
loop_
_space_group_symop_operation_xyz
'x,y,z'
loop_
_atom_site_label
_atom_site_type_symbol
_atom_site_fract_x
_atom_site_fract_y
_atom_site_fract_z
Li1 Li 0.042 0.042 0.373
Li2 Li 0.301 0.301 0.509
Li3 Li 0.402 0.402 0.316
Li4 Li 0.598 0.598 0.684
Li5 Li 0.699 0.699 0.491
Li6 Li 0.958 0.958 0.627
Pr1 Pr 0.146 0.146 0.050
Pr2 Pr 0.854 0.854 0.950
Sn1 Sn 0.198 0.198 0.715
Sn2 Sn 0.470 0.470 0.820
Sn3 Sn 0.530 0.530 0.180
Sn4 Sn 0.802 0.802 0.285
```